# 1
Density functional theory data (PBE) for a relaxed Rh3PbW crystal.

V in Å³/atom: 21.7
Crystal system: cubic
Symmetry: Pm-3m, No. 221
E in eV per cell: -34.460

a b c (Å): 4.7678 4.7678 4.7678
angles (deg): 90.00 90.00 90.00
Last column: nearest neighbours and their distance in Å.
Element x y z (fractional)
W  0.0000  0.0000  0.0000  6 Rh 2.38
Pb  0.5000  0.5000  0.5000  12 Rh 3.37
Rh  0.0000  0.0000  0.5000  2 W 2.38
Rh  0.5000  0.0000  0.0000  2 W 2.38
Rh  0.0000  0.5000  0.0000  2 W 2.38

---

# 2
Density functional theory data (PBE) for a relaxed AcDy3In2 crystal.

V in Å³/atom: 31.4
Crystal system: monoclinic
Symmetry: C2/m, No. 12
E in eV per cell: -49.612
Relative energy among the computed polymorphs in meV per atom: 59.1

a b c (Å): 5.4826 9.5792 9.2376
angles (deg): 124.11 90.00 106.63
Last column: nearest neighbours and their distance in Å.
Element x y z (fractional)
Ac  0.1306  0.2613  0.0846  5 In 3.40-3.60, 2 Dy 3.68
Dy  0.3850  0.7701  0.3037  3 In 3.05-3.20
In  0.7750  0.5501  0.1537  5 Dy 3.20-3.46, 1 Ac 3.51
Dy  0.3044  0.6088  0.5956  2 In 3.02-3.38, 2 Dy 3.24
Dy  0.6150  0.2299  0.6963  3 In 3.05-3.20
Dy  0.0634  0.1269  0.4124  3 In 3.31-3.38, 6 Dy 3.52-3.70
Dy  0.9366  0.8731  0.5876  3 In 3.31-3.38, 6 Dy 3.52-3.70
In  0.2250  0.4499  0.8463  5 Dy 3.20-3.46, 1 Ac 3.51
In  0.5072  0.0143  0.8511  1 In 2.91, 2 Dy 3.02-3.05
Ac  0.8694  0.7387  0.9154  5 In 3.40-3.60, 2 Dy 3.68
In  0.4928  0.9857  0.1489  1 In 2.91, 2 Dy 3.02-3.05
Dy  0.6956  0.3912  0.4044  2 In 3.02-3.38, 2 Dy 3.24

---

# 3
Density functional theory data (PBE) for a relaxed GdFeC2 crystal.

V in Å³/atom: 12.5
Crystal system: orthorhombic
Symmetry: Amm2, No. 38
E in eV per cell: -41.954

a b c (Å): 3.7419 3.7419 3.7093
angles (deg): 90.00 90.00 104.97
Last column: nearest neighbours and their distance in Å.
Element x y z (fractional)
Fe  0.6136  0.3864  0.5000  4 C 1.92-2.00
C  0.4526  0.8553  0.5000  1 C 1.40
Gd  0.0041  0.9959  0.0000  8 C 2.64-2.72
C  0.1447  0.5474  0.5000  1 C 1.40

---

# 4
Density functional theory data (PBE) for a relaxed ThGa2GeRh4 crystal.

V in Å³/atom: 16.8
Crystal system: trigonal
Symmetry: R-3m, No. 166
E in eV per cell: -53.317

a b c (Å): 4.2502 4.2502 8.9246
angles (deg): 76.22 76.22 60.00
Last column: nearest neighbours and their distance in Å.
Element x y z (fractional)
Rh  0.4025  0.4025  0.7924  1 Ge 2.51, 3 Ga 2.51
Ga  0.2430  0.2430  0.2710  7 Rh 2.51-2.79
Ga  0.7570  0.7570  0.7290  7 Rh 2.51-2.79
Rh  0.5975  0.5975  0.2076  1 Ge 2.51, 3 Ga 2.51
Ge  0.5000  0.5000  0.5000  8 Rh 2.51-2.59
Th  0.0000  0.0000  0.0000  6 Rh 3.03, 6 Ga 3.38
Rh  0.8655  0.8655  0.4035  3 Ge 2.59, 4 Ga 2.70-2.79
Rh  0.1345  0.1345  0.5965  3 Ge 2.59, 4 Ga 2.70-2.79